[1]
A relaxed VIr5W4 crystal. Source: Alexandria, functional PBE.

Computed properties:
Total magnetic moment (μB/f.u.): 0.13
ΔE_f (eV per formula unit): -3.14
DFT total energy (eV per formula unit): -108.4
Space group: P4/mmm, No. 123
DOS(E_F) (states/eV/cell): 8.47

Cell: 2.774 2.774 19.471 Å, 90.00 90.00 90.00°
Element x y z (fractional)
1 Ir 0.500 0.500 0.096
2 Ir 0.500 0.500 0.297
3 Ir 0.500 0.500 0.904
4 Ir 0.500 0.500 0.703
5 Ir 0.500 0.500 0.500
6 V 0.000 0.000 0.000
7 W 0.000 0.000 0.601
8 W 0.000 0.000 0.196
9 W 0.000 0.000 0.804
10 W 0.000 0.000 0.399

[2]
A relaxed V2Ir2W crystal. Source: Alexandria, functional PBE.

Computed properties:
Total magnetic moment (μB/f.u.): 0.00
ΔE_f (eV per formula unit): -1.03
Distance to the lowest polymorph of the same formula (eV per atom): 0.000
DFT total energy (eV per formula unit): -49.9
Space group: P4/mbm, No. 127
DOS(E_F) (states/eV/cell): 8.95

Cell: 7.299 7.299 2.778 Å, 90.00 90.00 90.00°
Element x y z (fractional)
1 Ir 0.133 0.367 0.000
2 Ir 0.633 0.133 0.000
3 Ir 0.367 0.867 0.000
4 Ir 0.867 0.633 0.000
5 W 0.000 0.000 0.000
6 W 0.500 0.500 0.000
7 V 0.666 0.834 0.500
8 V 0.834 0.334 0.500
9 V 0.166 0.666 0.500
10 V 0.334 0.166 0.500

[3]
A relaxed VIr6W5 crystal. Source: Alexandria, functional PBE.

Computed properties:
Total magnetic moment (μB/f.u.): 0.00
ΔE_f (eV per formula unit): -3.88
DFT total energy (eV per formula unit): -130.9
Space group: Immm, No. 71
DOS(E_F) (states/eV/cell): 6.66

Cell: 3.919 7.328 7.328 Å, 106.76 105.53 105.53°
Element x y z (fractional)
1 W 0.500 0.165 0.835
2 W 0.000 0.332 0.668
3 W 0.500 0.500 0.500
4 W 0.000 0.668 0.332
5 W 0.500 0.835 0.165
6 V 0.000 0.000 0.000
7 Ir 0.748 0.248 0.248
8 Ir 0.249 0.415 0.083
9 Ir 0.252 0.752 0.752
10 Ir 0.249 0.083 0.415
11 Ir 0.751 0.585 0.917
12 Ir 0.751 0.917 0.585